(1)
Density functional theory data (PBE) for a relaxed Ac2Zn3Au6 crystal.

abc: 7.9553 7.9553 4.5580
angles: 90.00 90.00 120.00
Sites, in units of the cell vectors:
Ac1 0.3333 0.6667 0.0000
Ac2 0.6667 0.3333 0.0000
Zn1 0.0000 0.6424 0.5000
Zn2 0.3576 0.3576 0.5000
Zn3 0.6424 0.0000 0.5000
Au1 0.0000 0.3173 0.5000
Au2 0.0000 0.7928 0.0000
Au3 0.2072 0.2072 0.0000
Au4 0.3173 0.0000 0.5000
Au5 0.6827 0.6827 0.5000
Au6 0.7928 0.0000 0.0000

Computed properties:
- V (Å³/atom) = 22.71
- space group = No. 189
- E_form (eV per atom) = -0.52

***

(2)
Density functional theory data (PBE) for a relaxed CdAuI crystal.

abc: 4.1410 4.5512 9.7305
angles: 91.20 90.09 90.11
Sites, in units of the cell vectors:
Cd1 0.2484 0.4868 0.3659
Cd2 0.7516 0.5132 0.6341
Au1 0.2505 0.0884 0.5864
Au2 0.7495 0.9116 0.4136
I1 0.2529 0.7415 0.8363
I2 0.7471 0.2585 0.1637

Computed properties:
- V (Å³/atom) = 30.56
- space group = No. 2
- energy above the lowest structure with this stoichiometry (eV per atom) = 0.036
- formation energy from raw total energies (eV per formula unit) = -0.6

***

(3)
Density functional theory data (PBE) for a relaxed AcTeAu crystal.

abc: 4.8657 4.8657 11.0573
angles: 90.98 90.98 60.32
Sites, in units of the cell vectors:
Ac1 0.0057 0.0057 0.1883
Ac2 0.9943 0.9943 0.8117
Te1 0.3249 0.3249 0.6655
Te2 0.6751 0.6751 0.3345
Au1 0.3326 0.3326 0.9924
Au2 0.6674 0.6674 0.0076

Computed properties:
- V (Å³/atom) = 37.90
- space group = No. 12
- energy above the lowest structure with this stoichiometry (eV per atom) = 0.025
- formation energy from raw total energies (eV per formula unit) = -3.1

***

- Among the records above, which one has the highest V?
  AcTeAu

***

- V of number 2 (CdAuI)?
  30.56 Å³/atom

***

- The highest V belongs to which entry?
  AcTeAu